Entry 1:
# LiZnCr

A geometry-optimized LiZnCr structure (PBE, the Alexandria database).

Lattice parameters (Å, degrees): 3.011 3.011 9.287 90.00 90.00 90.00
Fractional coordinates of all 6 atoms:
Li 0.000 0.000 0.000
Li 0.000 0.000 0.343
Zn 0.500 0.500 0.162
Zn 0.500 0.500 0.512
Cr 0.000 0.000 0.689
Cr 0.500 0.500 0.812

## Properties
Space group   P4mm (99)
ΔE_f   22 kJ/mol of formula units
Uncorrected energy   -4.196 eV/atom

***

Entry 2:
# ZnCd2Rh

A geometry-optimized ZnCd2Rh structure (PBE, the Alexandria database).

Lattice parameters (Å, degrees): 3.108 4.313 5.534 90.00 106.04 90.00
Fractional coordinates of all 4 atoms:
Zn 0.000 0.000 0.000
Cd 0.277 0.000 0.547
Cd 0.606 0.500 0.214
Rh 0.878 0.500 0.750

## Properties
Space group   Pm (6)
ΔE_f   -41 kJ/mol of formula units
Uncorrected energy   -2.721 eV/atom

***

Entry 3:
# Ca3PrZn8

A geometry-optimized Ca3PrZn8 structure (PBE, the Alexandria database).

Lattice parameters (Å, degrees): 5.650 5.650 8.845 90.00 90.00 120.00
Fractional coordinates of all 12 atoms:
Ca 0.000 0.000 0.000
Ca 0.000 0.000 0.385
Ca 0.333 0.667 0.886
Pr 0.333 0.667 0.500
Zn 0.336 0.168 0.693
Zn 0.501 0.003 0.192
Zn 0.501 0.499 0.192
Zn 0.667 0.333 0.444
Zn 0.667 0.333 0.943
Zn 0.832 0.168 0.693
Zn 0.832 0.664 0.693
Zn 0.997 0.499 0.192

## Properties
Space group   P3m1 (156)
ΔE_f   -318 kJ/mol of formula units
Uncorrected energy   -2.022 eV/atom

***

Entry 4:
# KPu2AuS4

A geometry-optimized KPu2AuS4 structure (PBE, the Alexandria database).

Lattice parameters (Å, degrees): 7.082 7.082 14.081 90.00 90.00 146.46
Fractional coordinates of all 16 atoms:
K 0.117 0.883 0.750
K 0.883 0.117 0.250
Pu 0.369 0.631 0.564
Pu 0.369 0.631 0.936
Pu 0.631 0.369 0.064
Pu 0.631 0.369 0.436
Au 0.161 0.839 0.250
Au 0.839 0.161 0.750
S 0.000 0.000 0.000
S 0.000 0.000 0.500
S 0.263 0.737 0.102
S 0.263 0.737 0.398
S 0.444 0.556 0.750
S 0.556 0.444 0.250
S 0.737 0.263 0.602
S 0.737 0.263 0.898

## Properties
Space group   Cmcm (63)
Uncorrected formation energy   -1310 meV per atom
Uncorrected energy   -7.503 eV/atom

***

Entry 5:
# SbSe3Cl

A geometry-optimized SbSe3Cl structure (PBE, the Alexandria database).

Lattice parameters (Å, degrees): 5.330 5.330 5.330 90.00 90.00 90.00
Fractional coordinates of all 5 atoms:
Sb 0.000 0.000 0.000
Se 0.000 0.000 0.500
Se 0.000 0.500 0.000
Se 0.500 0.000 0.000
Cl 0.500 0.500 0.500

## Properties
Space group   Pm-3m (221)
Uncorrected formation energy   584 meV per atom
Uncorrected energy   -2.701 eV/atom

***

Entry 6:
# Zr2ScSe

A geometry-optimized Zr2ScSe structure (PBE, the Alexandria database).

Lattice parameters (Å, degrees): 4.127 4.127 4.805 90.00 90.00 90.00
Fractional coordinates of all 4 atoms:
Zr 0.000 0.500 0.000
Zr 0.500 0.000 0.000
Sc 0.000 0.000 0.500
Se 0.500 0.500 0.500

## Properties
Space group   P4/mmm (123)
Uncorrected formation energy   -349 meV per atom
Uncorrected energy   -7.077 eV/atom

***

Entry 7:
# UCrC

A geometry-optimized UCrC structure (PBE, the Alexandria database).

Lattice parameters (Å, degrees): 3.138 3.138 11.239 90.00 90.00 90.00
Fractional coordinates of all 6 atoms:
U 0.000 0.000 0.000
U 0.500 0.500 0.500
Cr 0.000 0.000 0.738
Cr 0.500 0.500 0.238
C 0.000 0.000 0.553
C 0.500 0.500 0.053

## Properties
Space group   I4mm (107)
ΔE_f   243 kJ/mol of formula units
Uncorrected energy   -9.207 eV/atom

***

Entry 8:
# La6Ir2S3Cl

A geometry-optimized La6Ir2S3Cl structure (PBE, the Alexandria database).

Lattice parameters (Å, degrees): 9.477 9.477 8.652 104.57 104.57 25.15
Fractional coordinates of all 12 atoms:
La 0.006 0.006 0.270
La 0.326 0.326 0.897
La 0.330 0.330 0.423
La 0.670 0.670 0.577
La 0.674 0.674 0.103
La 0.994 0.994 0.730
Ir 0.166 0.166 0.330
Ir 0.834 0.834 0.670
S 0.159 0.159 0.838
S 0.500 0.500 0.500
S 0.841 0.841 0.162
Cl 0.500 0.500 0.000

## Properties
Space group   C2/m (12)
Uncorrected formation energy   -1590 meV per atom
Uncorrected energy   -6.716 eV/atom

***

Entry 9:
# Pm6DyIn

A geometry-optimized Pm6DyIn structure (PBE, the Alexandria database).

Lattice parameters (Å, degrees): 4.996 4.996 10.273 90.00 90.00 90.00
Fractional coordinates of all 8 atoms:
Pm 0.000 0.000 0.000
Pm 0.000 0.000 0.500
Pm 0.000 0.500 0.243
Pm 0.000 0.500 0.757
Pm 0.500 0.000 0.243
Pm 0.500 0.000 0.757
Dy 0.500 0.500 0.500
In 0.500 0.500 0.000

## Properties
Space group   P4/mmm (123)
ΔE_f   -93 kJ/mol of formula units
Uncorrected energy   -4.601 eV/atom

***

Entry 10:
# ZnAs2

A geometry-optimized ZnAs2 structure (PBE, the Alexandria database).

Lattice parameters (Å, degrees): 4.805 4.805 2.815 90.00 90.00 120.00
Fractional coordinates of all 3 atoms:
Zn 0.000 0.000 0.000
As 0.333 0.667 0.500
As 0.667 0.333 0.500

## Properties
Space group   P6/mmm (191)
ΔE_f   76 kJ/mol of formula units
Uncorrected energy   -3.261 eV/atom

***

Entry 11:
# LiTaI2O

A geometry-optimized LiTaI2O structure (PBE, the Alexandria database).

Lattice parameters (Å, degrees): 5.811 5.811 3.917 90.00 90.00 90.00
Fractional coordinates of all 5 atoms:
Li 0.000 0.000 0.000
Ta 0.500 0.500 0.500
I 0.000 0.500 0.500
I 0.500 0.000 0.500
O 0.500 0.500 0.000

## Properties
Space group   P4/mmm (123)
Uncorrected formation energy   -839 meV per atom
Uncorrected energy   -5.204 eV/atom

***

Entry 12:
# Er2PaSb3

A geometry-optimized Er2PaSb3 structure (PBE, the Alexandria database).

Lattice parameters (Å, degrees): 6.167 13.055 8.713 90.00 90.01 90.00
Fractional coordinates of all 24 atoms:
Er 0.249 0.249 0.376
Er 0.249 0.251 0.876
Er 0.250 0.584 0.376
Er 0.250 0.916 0.876
Er 0.750 0.084 0.124
Er 0.750 0.416 0.624
Er 0.751 0.749 0.124
Er 0.751 0.751 0.624
Pa 0.251 0.582 0.876
Pa 0.251 0.918 0.376
Pa 0.749 0.082 0.624
Pa 0.749 0.418 0.124
Sb 0.249 0.085 0.629
Sb 0.249 0.415 0.129
Sb 0.250 0.083 0.125
Sb 0.250 0.417 0.625
Sb 0.251 0.750 0.126
Sb 0.251 0.750 0.626
Sb 0.749 0.250 0.374
Sb 0.749 0.250 0.874
Sb 0.750 0.583 0.375
Sb 0.750 0.917 0.875
Sb 0.751 0.585 0.871
Sb 0.751 0.915 0.371

## Properties
Space group   P2_1/c (14)
Uncorrected formation energy   -866 meV per atom
Uncorrected energy   -6.030 eV/atom

***

Entry 13:
# In4Ga5Pb

A geometry-optimized In4Ga5Pb structure (PBE, the Alexandria database).

Lattice parameters (Å, degrees): 10.481 10.589 4.438 90.00 90.00 90.00
Fractional coordinates of all 20 atoms:
In 0.026 0.250 0.249
In 0.250 0.554 0.760
In 0.250 0.946 0.760
In 0.474 0.250 0.249
In 0.526 0.750 0.751
In 0.750 0.054 0.240
In 0.750 0.446 0.240
In 0.974 0.750 0.751
Ga 0.035 0.570 0.251
Ga 0.035 0.930 0.251
Ga 0.250 0.750 0.262
Ga 0.465 0.570 0.251
Ga 0.465 0.930 0.251
Ga 0.535 0.070 0.749
Ga 0.535 0.430 0.749
Ga 0.750 0.250 0.738
Ga 0.965 0.070 0.749
Ga 0.965 0.430 0.749
Pb 0.250 0.250 0.748
Pb 0.750 0.750 0.252

## Properties
Space group   Pmmn (59)
ΔE_f   64 kJ/mol of formula units
Uncorrected energy   -2.913 eV/atom

***

Entry 14:
# Pm12Y6Er

A geometry-optimized Pm12Y6Er structure (PBE, the Alexandria database).

Lattice parameters (Å, degrees): 8.670 8.670 8.670 89.21 89.21 89.21
Fractional coordinates of all 19 atoms:
Pm 0.018 0.196 0.360
Pm 0.196 0.360 0.018
Pm 0.221 0.463 0.566
Pm 0.360 0.018 0.196
Pm 0.434 0.779 0.537
Pm 0.463 0.566 0.221
Pm 0.537 0.434 0.779
Pm 0.566 0.221 0.463
Pm 0.640 0.982 0.804
Pm 0.779 0.537 0.434
Pm 0.804 0.640 0.982
Pm 0.982 0.804 0.640
Y 0.098 0.701 0.261
Y 0.261 0.098 0.701
Y 0.299 0.739 0.902
Y 0.701 0.261 0.098
Y 0.739 0.902 0.299
Y 0.902 0.299 0.739
Er 0.000 0.000 0.000

## Properties
Space group   R-3 (148)
ΔE_f   253 kJ/mol of formula units
Uncorrected energy   -5.144 eV/atom

***

Entry 15:
# Pm6NdGe4

A geometry-optimized Pm6NdGe4 structure (PBE, the Alexandria database).

Lattice parameters (Å, degrees): 9.325 9.325 4.117 90.00 90.00 120.00
Fractional coordinates of all 11 atoms:
Pm 0.196 0.392 0.000
Pm 0.196 0.804 0.000
Pm 0.542 0.083 0.500
Pm 0.542 0.458 0.500
Pm 0.608 0.804 0.000
Pm 0.917 0.458 0.500
Nd 0.000 0.000 0.500
Ge 0.329 0.164 0.000
Ge 0.333 0.667 0.500
Ge 0.836 0.164 0.000
Ge 0.836 0.671 0.000

## Properties
Space group   P-6m2 (187)
ΔE_f   -625 kJ/mol of formula units
Uncorrected energy   -5.293 eV/atom

***

Entry 16:
# CoAg2Au

A geometry-optimized CoAg2Au structure (PBE, the Alexandria database).

Lattice parameters (Å, degrees): 3.819 3.819 19.574 90.00 90.00 90.00
Fractional coordinates of all 16 atoms:
Co 0.000 0.000 0.000
Co 0.000 0.500 0.250
Co 0.500 0.000 0.750
Co 0.500 0.500 0.500
Ag 0.247 0.250 0.125
Ag 0.250 0.747 0.375
Ag 0.250 0.753 0.875
Ag 0.253 0.250 0.625
Ag 0.747 0.750 0.625
Ag 0.750 0.247 0.875
Ag 0.750 0.253 0.375
Ag 0.753 0.750 0.125
Au 0.000 0.000 0.500
Au 0.000 0.500 0.750
Au 0.500 0.000 0.250
Au 0.500 0.500 0.000

## Properties
Space group   I-42d (122)
ΔE_f   194 kJ/mol of formula units
Uncorrected energy   -3.520 eV/atom

***

Entry 17:
# Ac2P4Rh3

A geometry-optimized Ac2P4Rh3 structure (PBE, the Alexandria database).

Lattice parameters (Å, degrees): 8.619 8.619 7.347 90.00 90.00 142.42
Fractional coordinates of all 18 atoms:
Ac 0.112 0.888 0.905
Ac 0.388 0.612 0.405
Ac 0.612 0.388 0.595
Ac 0.888 0.112 0.095
P 0.192 0.308 0.750
P 0.203 0.797 0.537
P 0.297 0.703 0.037
P 0.308 0.192 0.250
P 0.692 0.808 0.750
P 0.703 0.297 0.963
P 0.797 0.203 0.463
P 0.808 0.692 0.250
Rh 0.000 0.000 0.500
Rh 0.038 0.462 0.750
Rh 0.462 0.038 0.250
Rh 0.500 0.500 0.000
Rh 0.538 0.962 0.750
Rh 0.962 0.538 0.250

## Properties
Space group   Cmce (64)
ΔE_f   -749 kJ/mol of formula units
Uncorrected energy   -6.630 eV/atom

***

Entry 18:
# LuAlSn2

A geometry-optimized LuAlSn2 structure (PBE, the Alexandria database).

Lattice parameters (Å, degrees): 3.327 3.327 31.939 90.00 90.00 120.00
Fractional coordinates of all 12 atoms:
Lu 0.000 0.000 0.000
Lu 0.333 0.667 0.667
Lu 0.667 0.333 0.333
Al 0.000 0.000 0.500
Al 0.333 0.667 0.167
Al 0.667 0.333 0.833
Sn 0.000 0.000 0.413
Sn 0.000 0.000 0.587
Sn 0.333 0.667 0.080
Sn 0.333 0.667 0.253
Sn 0.667 0.333 0.747
Sn 0.667 0.333 0.920

## Properties
Space group   R-3m (166)
ΔE_f   -11 kJ/mol of formula units
Uncorrected energy   -4.095 eV/atom

***

Entry 19:
# Li3CuN

A geometry-optimized Li3CuN structure (PBE, the Alexandria database).

Lattice parameters (Å, degrees): 4.439 4.439 4.439 90.00 90.00 90.00
Fractional coordinates of all 5 atoms:
Li 0.000 0.000 0.500
Li 0.000 0.500 0.000
Li 0.500 0.000 0.000
Cu 0.000 0.000 0.000
N 0.500 0.500 0.500

## Properties
Space group   Pm-3m (221)
Uncorrected formation energy   971 meV per atom
Uncorrected energy   -2.661 eV/atom

***

Entry 20:
# CoW

A geometry-optimized CoW structure (PBE, the Alexandria database).

Lattice parameters (Å, degrees): 2.725 2.725 25.985 90.00 90.00 120.00
Fractional coordinates of all 12 atoms:
Co 0.000 0.000 0.130
Co 0.000 0.000 0.870
Co 0.333 0.667 0.537
Co 0.333 0.667 0.796
Co 0.667 0.333 0.204
Co 0.667 0.333 0.463
W 0.000 0.000 0.381
W 0.000 0.000 0.619
W 0.333 0.667 0.048
W 0.333 0.667 0.285
W 0.667 0.333 0.715
W 0.667 0.333 0.952

## Properties
Space group   R-3m (166)
ΔE_f   64 kJ/mol of formula units
Uncorrected energy   -9.695 eV/atom

***

Entry 21:
# AcPrBr2

A geometry-optimized AcPrBr2 structure (PBE, the Alexandria database).

Lattice parameters (Å, degrees): 3.858 3.858 28.863 90.00 90.00 120.00
Fractional coordinates of all 12 atoms:
Ac 0.000 0.000 0.000
Ac 0.333 0.667 0.667
Ac 0.667 0.333 0.333
Pr 0.000 0.000 0.165
Pr 0.333 0.667 0.831
Pr 0.667 0.333 0.498
Br 0.000 0.000 0.420
Br 0.000 0.000 0.578
Br 0.333 0.667 0.087
Br 0.333 0.667 0.245
Br 0.667 0.333 0.753
Br 0.667 0.333 0.911

## Properties
Space group   R3m (160)
Uncorrected formation energy   -1171 meV per atom
Uncorrected energy   -4.229 eV/atom

***

Entry 22:
# CaLa3Rh

A geometry-optimized CaLa3Rh structure (PBE, the Alexandria database).

Lattice parameters (Å, degrees): 5.712 5.712 5.712 90.00 90.00 90.00
Fractional coordinates of all 5 atoms:
Ca 0.000 0.000 0.000
La 0.000 0.500 0.500
La 0.500 0.000 0.500
La 0.500 0.500 0.000
Rh 0.500 0.500 0.500

## Properties
Space group   Pm-3m (221)
ΔE_f   -138 kJ/mol of formula units
Uncorrected energy   -5.112 eV/atom